A plane-wave DFT calculation with GGA-PBE was carried out for an optimized crystal structure of CaPtBrN2.

Cell lengths 4.2047, 4.2047, 5.4738 Å; angles 90.00, 90.00, 90.00 degrees
Atoms (fractional coordinates):
Ca1 0.0000 0.0000 0.0000
Pt1 0.5000 0.5000 0.0000
Br1 0.0000 0.0000 0.5000
N1 0.0000 0.5000 0.5000
N2 0.5000 0.0000 0.5000

Properties
Symmetry: P4/mmm
ΔE_f (raw), eV/atom: 1.75

=====

A plane-wave DFT calculation with GGA-PBE was carried out for an optimized crystal structure of Pm2Be3ZnSi4.

Cell lengths 4.0369, 4.0369, 9.7358 Å; angles 90.00, 90.00, 90.00 degrees
Atoms (fractional coordinates):
Pm1 0.0000 0.5000 0.2417
Pm2 0.5000 0.0000 0.7583
Be1 0.0000 0.5000 0.8775
Be2 0.5000 0.0000 0.1225
Be3 0.5000 0.5000 0.5000
Zn1 0.0000 0.0000 0.5000
Si1 0.0000 0.0000 0.0000
Si2 0.0000 0.5000 0.6426
Si3 0.5000 0.0000 0.3574
Si4 0.5000 0.5000 0.0000

Properties
Symmetry: P-4m2
ΔE_f (raw), eV/atom: -0.35

=====

A plane-wave DFT calculation with GGA-PBE was carried out for an optimized crystal structure of CoNi2Mo.

Cell lengths 4.5344, 4.5344, 4.5344 Å; angles 134.09, 134.09, 66.94 degrees
Atoms (fractional coordinates):
Co1 0.0000 0.0000 0.0000
Ni1 0.2500 0.7500 0.5000
Ni2 0.7500 0.2500 0.5000
Mo1 0.5000 0.5000 0.0000

Properties
Energy relative to the elements, eV per atom: -0.04
Symmetry: I4/mmm
Distance to the lowest polymorph of the same formula, kJ/mol of formula units: 5

=====

A plane-wave DFT calculation with GGA-PBE was carried out for an optimized crystal structure of Pm4Hg2Rh.

Cell lengths 8.7410, 8.7410, 6.7008 Å; angles 111.85, 111.85, 26.43 degrees
Atoms (fractional coordinates):
Pm1 0.0948 0.0948 0.4428
Pm2 0.3922 0.3922 0.0543
Pm3 0.6078 0.6078 0.9457
Pm4 0.9052 0.9052 0.5572
Hg1 0.2546 0.2546 0.2899
Hg2 0.7454 0.7454 0.7101
Rh1 0.0000 0.0000 0.0000

Properties
Energy relative to the elements, eV per atom: -0.41
Symmetry: C2/m
Distance to the lowest polymorph of the same formula, kJ/mol of formula units: 38

=====

Calculated VASP energy in order - -17.59; -47.15; -29.66; -29.83 eV/cell
Calculated DOS(E_F) in order - 4.1; 2.7; 4.7; 5.7 states/eV/cell